Entry from Alexandria: LiFeF3 after structural relaxation (PBE with a Hubbard U).

Cell: 6.044 6.046 6.105 Å, 89.38 90.21 90.18°
Last column: magnetic moment on the atom in μB.
Fractional coordinates of all 20 atoms:
F  0.622  0.987  0.266  0.01
F  0.483  0.739  0.874  0.00
Li  0.615  0.885  0.614  0.00
F  0.265  0.877  0.506  0.02
Fe  0.159  0.835  0.836  3.80
Li  0.882  0.122  0.123  0.00
F  0.983  0.767  0.128  0.02
F  0.229  0.125  0.020  0.01
Li  0.122  0.616  0.383  0.00
F  0.012  0.274  0.378  0.00
F  0.128  0.504  0.732  0.02
Fe  0.666  0.660  0.161  -1.92
F  0.879  0.016  0.768  0.02
Fe  0.839  0.339  0.662  0.00
F  0.767  0.626  0.496  -0.01
Li  0.386  0.372  0.880  0.00
F  0.516  0.228  0.620  0.00
F  0.728  0.377  0.983  -0.01
Fe  0.338  0.163  0.337  0.00
F  0.382  0.488  0.234  -0.01

Properties
- Magnetization: 2.0 μB/cell
- Electronic total energy: -99.8 eV/cell
- Energy above the lowest structure with this stoichiometry: 1.46 eV per formula unit